(1)
Cs3PdAu2Br9: relaxed, PBE.

Computed properties:
**SG**: No. 164
**Formation energy (no corrections)**: -12.89 eV per formula unit
**Magnetic moment**: 0.00 μB/f.u.

Unit cell a=7.678 b=7.678 c=9.382 alpha=90.00 beta=90.00 gamma=120.00
Fractional coordinates of all 15 atoms:
Cs  0.000  0.000  0.000
Cs  0.333  0.667  0.667
Cs  0.667  0.333  0.333
Pd  0.000  0.000  0.500
Au  0.333  0.667  0.170
Au  0.667  0.333  0.830
Br  0.000  0.500  0.000
Br  0.163  0.326  0.339
Br  0.163  0.837  0.339
Br  0.326  0.163  0.661
Br  0.500  0.000  0.000
Br  0.500  0.500  0.000
Br  0.674  0.837  0.339
Br  0.837  0.163  0.661
Br  0.837  0.674  0.661



(2)
LaSm3YHo: relaxed, PBE.

Computed properties:
**SG**: No. 11
**Energy of formation from the pure elements**: 26 meV/atom
**Magnetic moment**: 0.00 μB/f.u.

Unit cell a=8.086 b=5.142 c=10.252 alpha=90.00 beta=108.55 gamma=90.00
Fractional coordinates of all 12 atoms:
La  0.168  0.250  0.292
La  0.832  0.750  0.708
Sm  0.168  0.250  0.791
Sm  0.168  0.750  0.041
Sm  0.170  0.750  0.543
Sm  0.830  0.250  0.457
Sm  0.832  0.250  0.959
Sm  0.832  0.750  0.209
Y  0.498  0.750  0.875
Y  0.502  0.250  0.125
Ho  0.500  0.250  0.626
Ho  0.500  0.750  0.374



(3)
DyHoTh2: relaxed, PBE.

Computed properties:
**SG**: No. 160
**Energy of formation from the pure elements**: 40 meV/atom
**Energy above the lowest structure with this stoichiometry**: 10 meV per atom
**Magnetic moment**: 0.00 μB/f.u.

Unit cell a=11.766 b=11.766 c=11.766 alpha=17.39 beta=17.39 gamma=17.39
Fractional coordinates of all 4 atoms:
Dy  0.000  0.000  0.000
Ho  0.170  0.170  0.170
Th  0.419  0.419  0.419
Th  0.585  0.585  0.585



(4)
Mn3CuRh: relaxed, PBE.

Computed properties:
**SG**: No. 221
**Energy of formation from the pure elements**: 1076 meV/atom
**Energy above the lowest structure with this stoichiometry**: 0 meV per atom
**Magnetic moment**: 13.38 μB/f.u.

Unit cell a=4.768 b=4.768 c=4.768 alpha=90.00 beta=90.00 gamma=90.00
Fractional coordinates of all 5 atoms:
Mn  0.000  0.000  0.500
Mn  0.000  0.500  0.000
Mn  0.500  0.000  0.000
Cu  0.500  0.500  0.500
Rh  0.000  0.000  0.000



> Which formula does entry 1 have?

Cs3PdAu2Br9



> What is the magnetic moment in the second record?

0.00 μB/f.u.